1.
Compound: Ti2AlSi3
Source: Alexandria via LeMat-Bulk
Functional: PBE
Structure: relaxed

Properties
E_form (uncorrected) ... -558.9 meV per atom
Crystal system ... orthorhombic
Total energy ... -78.3 eV for the cell shown

The structure in CIF format:
```
data_Ti2AlSi3
_cell_length_a 3.607
_cell_length_b 3.625
_cell_length_c 13.475
_cell_angle_alpha 90.00
_cell_angle_beta 90.00
_cell_angle_gamma 90.00
_symmetry_space_group_name_H-M 'A m m 2'
_symmetry_Int_Tables_number 38
_symmetry_space_group_name_Hall 'A 2 -2'
loop_
_atom_site_label
_atom_site_type_symbol
_atom_site_fract_x
_atom_site_fract_y
_atom_site_fract_z
Ti1 Ti 0.000 0.000 0.000
Ti2 Ti 0.500 0.000 0.193
Al1 Al 0.500 0.000 0.848
Si1 Si 0.000 0.000 0.345
Si2 Si 0.000 0.000 0.658
Si3 Si 0.500 0.000 0.534
```

2.
Compound: CaMgTcH2
Source: Alexandria via LeMat-Bulk
Functional: PBE
Structure: relaxed

Properties
Crystal system ... orthorhombic
Total energy ... -42.3 eV for the cell shown
Distance to the lowest polymorph of the same formula ... 29 meV per atom

The structure in CIF format:
```
data_CaMgTcH2
_cell_length_a 3.487
_cell_length_b 3.545
_cell_length_c 11.240
_cell_angle_alpha 90.00
_cell_angle_beta 90.00
_cell_angle_gamma 90.00
_symmetry_space_group_name_H-M 'I m m 2'
_symmetry_Int_Tables_number 44
_symmetry_space_group_name_Hall 'I 2 -2'
loop_
_atom_site_label
_atom_site_type_symbol
_atom_site_fract_x
_atom_site_fract_y
_atom_site_fract_z
Ca1 Ca 0.000 0.000 0.000
Mg1 Mg 0.000 0.000 0.718
Tc1 Tc 0.000 0.000 0.329
H1 H 0.000 0.000 0.489
H2 H 0.000 0.500 0.869
```

3.
Compound: CaRh2
Source: Alexandria via LeMat-Bulk
Functional: PBE
Structure: relaxed

Properties
Formation energy ... -0.13 eV per atom
Crystal system ... tetragonal
Total energy ... -68.3 eV for the cell shown

The structure in CIF format:
```
data_CaRh2
_cell_length_a 4.135
_cell_length_b 4.135
_cell_length_c 14.889
_cell_angle_alpha 90.00
_cell_angle_beta 90.00
_cell_angle_gamma 90.00
_symmetry_space_group_name_H-M 'I 41/a m d'
_symmetry_Int_Tables_number 141
loop_
_symmetry_equiv_pos_as_xyz
'x,y,z'
'-x,-y,-z'
'-y+1/4,x+3/4,z+1/4'
'y+1/4,-x+3/4,-z+1/4'
'-x+1/2,-y,z+1/2'
'x+1/2,y,-z+1/2'
'y+1/4,-x+1/4,z+3/4'
'-y+1/4,x+1/4,-z+3/4'
'x,-y,-z'
'-x,y,z'
'-y+1/4,-x+1/4,-z+3/4'
'y+1/4,x+1/4,z+3/4'
'-x+1/2,y,-z+1/2'
'x+1/2,-y,z+1/2'
'y+1/4,x+3/4,-z+1/4'
'-y+1/4,-x+3/4,z+1/4'
'x+1/2,y+1/2,z+1/2'
'-x+1/2,-y+1/2,-z+1/2'
'-y+3/4,x+1/4,z+3/4'
'y+3/4,-x+1/4,-z+3/4'
'-x,-y+1/2,z'
'x,y+1/2,-z'
'y+3/4,-x+3/4,z+1/4'
'-y+3/4,x+3/4,-z+1/4'
'x+1/2,-y+1/2,-z+1/2'
'-x+1/2,y+1/2,z+1/2'
'-y+3/4,-x+3/4,-z+1/4'
'y+3/4,x+3/4,z+1/4'
'-x,y+1/2,-z'
'x,-y+1/2,z'
'y+3/4,x+1/4,-z+3/4'
'-y+3/4,-x+1/4,z+3/4'
loop_
_atom_site_label
_atom_site_type_symbol
_atom_site_fract_x
_atom_site_fract_y
_atom_site_fract_z
Ca1 Ca 0.000 0.250 0.375
Rh1 Rh 0.000 0.250 0.795
```

4.
Compound: AsCl4
Source: Alexandria via LeMat-Bulk
Functional: PBE
Structure: relaxed

Properties
E_form (uncorrected) ... -495.3 meV per atom
Crystal system ... tetragonal
Total energy ... -29.0 eV for the cell shown
Distance to the lowest polymorph of the same formula ... 0 meV per atom

The structure in CIF format:
```
data_AsCl4
_cell_length_a 6.578
_cell_length_b 6.578
_cell_length_c 9.902
_cell_angle_alpha 90.00
_cell_angle_beta 90.00
_cell_angle_gamma 90.00
_symmetry_space_group_name_H-M 'P -4 21 c'
_symmetry_Int_Tables_number 114
_symmetry_space_group_name_Hall 'P -4 2n'
loop_
_atom_site_label
_atom_site_type_symbol
_atom_site_fract_x
_atom_site_fract_y
_atom_site_fract_z
As1 As 0.000 0.000 0.000
Cl1 Cl 0.191 0.202 0.869
```